Record 1
The following is a PBE calculation of a relaxed YGe3Sb crystal, from the Alexandria database.

The structure in CIF format:
```
data_YGe3Sb
_space_group_name_H-M_alt 'P m -3 m'
_space_group_IT_number 221
_space_group_name_Hall '-P 4 2 3'
_cell_length_a 5.229
_cell_length_b 5.229
_cell_length_c 5.229
_cell_angle_alpha 90.00
_cell_angle_beta 90.00
_cell_angle_gamma 90.00
loop_
_atom_site_label
_atom_site_type_symbol
_atom_site_fract_x
_atom_site_fract_y
_atom_site_fract_z
Y1 Y 0.000 0.000 0.000
Ge1 Ge 0.000 0.500 0.500
Sb1 Sb 0.500 0.500 0.500
```

For the total magnetic moment, the calculation gives 0.00 μB/atom. The energy above the lowest structure with this stoichiometry is 0.00 eV/f.u. The uncorrected formation energy comes out at 0.6005 eV/atom.

=====

Record 2
The following is a PBE calculation of a relaxed SbRuI2O crystal, from the Alexandria database.

The structure in CIF format:
```
data_SbRuI2O
_space_group_name_H-M_alt 'P 4/m m m'
_space_group_IT_number 123
_space_group_name_Hall '-P 4 2'
_cell_length_a 5.122
_cell_length_b 5.122
_cell_length_c 4.498
_cell_angle_alpha 90.00
_cell_angle_beta 90.00
_cell_angle_gamma 90.00
loop_
_atom_site_label
_atom_site_type_symbol
_atom_site_fract_x
_atom_site_fract_y
_atom_site_fract_z
Sb1 Sb 0.000 0.000 0.000
Ru1 Ru 0.500 0.500 0.000
I1 I 0.000 0.500 0.500
O1 O 0.000 0.000 0.500
```

For the total magnetic moment, the calculation gives 0.45 μB/atom. The energy above the lowest structure with this stoichiometry is 4.46 eV/f.u. The uncorrected formation energy comes out at 0.9130 eV/atom.

=====

Record 3
The following is a PBE calculation of a relaxed Ba2LiCaH crystal, from the Alexandria database.

The structure in CIF format:
```
data_Ba2LiCaH
_space_group_name_H-M_alt 'P 4/m m m'
_space_group_IT_number 123
_space_group_name_Hall '-P 4 2'
_cell_length_a 6.052
_cell_length_b 6.052
_cell_length_c 4.927
_cell_angle_alpha 90.00
_cell_angle_beta 90.00
_cell_angle_gamma 90.00
loop_
_atom_site_label
_atom_site_type_symbol
_atom_site_fract_x
_atom_site_fract_y
_atom_site_fract_z
Ba1 Ba 0.000 0.500 0.000
Li1 Li 0.000 0.000 0.500
Ca1 Ca 0.500 0.500 0.500
H1 H 0.500 0.500 0.000
```

For the total magnetic moment, the calculation gives 0.00 μB/atom. The energy above the lowest structure with this stoichiometry is 0.00 eV/f.u.